[1]
Nb2CoReH | PBE | relaxed

Summary:
As for the energy above the most stable polymorph in this dataset: 176.8 meV/atom.

Geometry as CIF:
```
data_Nb2CoReH
_cell_length_a 4.199
_cell_length_b 4.199
_cell_length_c 3.689
_cell_angle_alpha 90.00
_cell_angle_beta 90.00
_cell_angle_gamma 90.00
_symmetry_space_group_name_H-M 'P 1'
_symmetry_Int_Tables_number 1
_symmetry_space_group_name_Hall 'P 1'
loop_
_atom_site_label
_atom_site_type_symbol
_atom_site_fract_x
_atom_site_fract_y
_atom_site_fract_z
Nb1 Nb 0.000 0.500 0.000
Nb2 Nb 0.500 0.000 0.000
Co1 Co 0.000 0.000 0.500
Re1 Re 0.500 0.500 0.500
H1 H 0.500 0.500 0.000
```

[2]
MnP2SCl | PBE | relaxed

Summary:
The formation energy (no corrections) comes out at 392 meV per atom. As for the energy above the most stable polymorph in this dataset: 0.0 meV/atom.

Geometry as CIF:
```
data_MnP2SCl
_cell_length_a 4.488
_cell_length_b 4.488
_cell_length_c 4.305
_cell_angle_alpha 90.00
_cell_angle_beta 90.00
_cell_angle_gamma 90.00
_symmetry_space_group_name_H-M 'P 1'
_symmetry_Int_Tables_number 1
_symmetry_space_group_name_Hall 'P 1'
loop_
_atom_site_label
_atom_site_type_symbol
_atom_site_fract_x
_atom_site_fract_y
_atom_site_fract_z
Mn1 Mn 0.000 0.000 0.000
P1 P 0.000 0.500 0.000
P2 P 0.500 0.000 0.000
S1 S 0.000 0.000 0.500
Cl1 Cl 0.500 0.500 0.500
```

[3]
Ac4NiBr2Cl | PBE | relaxed

Summary:
The formation energy (no corrections) comes out at -1051 meV per atom.

Geometry as CIF:
```
data_Ac4NiBr2Cl
_cell_length_a 7.455
_cell_length_b 4.226
_cell_length_c 8.667
_cell_angle_alpha 90.00
_cell_angle_beta 107.90
_cell_angle_gamma 90.00
_symmetry_space_group_name_H-M 'P 1'
_symmetry_Int_Tables_number 1
_symmetry_space_group_name_Hall 'P 1'
loop_
_atom_site_label
_atom_site_type_symbol
_atom_site_fract_x
_atom_site_fract_y
_atom_site_fract_z
Ac1 Ac 0.221 0.000 0.201
Ac2 Ac 0.256 0.500 0.786
Ac3 Ac 0.744 0.500 0.214
Ac4 Ac 0.779 0.000 0.799
Ni1 Ni 0.000 0.500 0.000
Br1 Br 0.000 0.000 0.500
Br2 Br 0.500 0.500 0.500
Cl1 Cl 0.500 0.000 0.000
```

[4]
AcLa2AlSi2 | PBE | relaxed

Summary:
The formation energy (no corrections) comes out at -48 meV per atom.

Geometry as CIF:
```
data_AcLa2AlSi2
_cell_length_a 4.862
_cell_length_b 4.862
_cell_length_c 16.403
_cell_angle_alpha 90.00
_cell_angle_beta 90.00
_cell_angle_gamma 90.00
_symmetry_space_group_name_H-M 'P 1'
_symmetry_Int_Tables_number 1
_symmetry_space_group_name_Hall 'P 1'
loop_
_atom_site_label
_atom_site_type_symbol
_atom_site_fract_x
_atom_site_fract_y
_atom_site_fract_z
Ac1 Ac 0.000 0.000 0.000
Ac2 Ac 0.500 0.500 0.500
La1 La 0.000 0.500 0.250
La2 La 0.000 0.500 0.750
La3 La 0.500 0.000 0.250
La4 La 0.500 0.000 0.750
Al1 Al 0.000 0.000 0.500
Al2 Al 0.500 0.500 0.000
Si1 Si 0.000 0.000 0.359
Si2 Si 0.000 0.000 0.641
Si3 Si 0.500 0.500 0.141
Si4 Si 0.500 0.500 0.859
```